Here is an optimized crystal structure of P3IrRh from the Alexandria database. Energies are from PBE.

Structure (POSCAR):
```
P3IrRh
1.0
4.555 0.000 0.000
0.000 4.555 0.000
0.000 0.000 4.555
P Ir Rh
3 1 1
Direct
0.000 0.000 0.500
0.000 0.500 0.000
0.500 0.000 0.000
0.000 0.000 0.000
0.500 0.500 0.500
```

Properties
- Symmetry: No. 221
- ΔH_f (0 K): 4.651 eV/f.u.
- E: -5.558 eV/atom
- Calculated density: 6.8 g cm⁻³
- DOS(E_F): 0.9119 states/eV per atom